1.
A relaxed structure of CuPt, computed with GGA-PBEsol.

a b c (Å): 2.673 2.673 8.681
angles (deg): 90.00 90.00 120.00
Fractional coordinates of all 4 atoms:
Cu 0.333 0.667 0.387
Cu 0.667 0.333 0.613
Pt 0.333 0.667 0.859
Pt 0.667 0.333 0.141

Summary:
Crystal system: trigonal
Symmetry: No. 164
DFT formation energy: -0.10 eV per formula unit
VASP energy: -0.419 Ry per atom

2.
A relaxed structure of SbRhN2, computed with GGA-PBEsol.

a b c (Å): 3.115 3.115 18.652
angles (deg): 90.00 90.00 120.00
Fractional coordinates of all 12 atoms:
Sb 0.000 0.000 0.000
Sb 0.333 0.667 0.667
Sb 0.667 0.333 0.333
Rh 0.000 0.000 0.500
Rh 0.333 0.667 0.167
Rh 0.667 0.333 0.833
N 0.000 0.000 0.395
N 0.000 0.000 0.605
N 0.333 0.667 0.061
N 0.333 0.667 0.272
N 0.667 0.333 0.728
N 0.667 0.333 0.939

Summary:
Crystal system: trigonal
ΔE_f (raw): 50.1 kJ/mol of atoms
Symmetry: No. 166
VASP energy: -0.508 Ry per atom